No. 1
Density functional theory data (PBE-GGA) for an optimized crystal structure of YMg6NbO8.

Unit cell a=4.444 b=4.444 c=9.064 alpha=90.00 beta=90.00 gamma=90.00
Element x y z (fractional)
1 O 0.500 0.500 0.747
2 O 0.500 0.000 0.000
3 Y 0.000 0.000 0.000
4 O 0.000 0.500 0.500
5 O 0.500 0.000 0.500
6 Mg 0.500 0.500 0.500
7 O 0.000 0.000 0.247
8 O 0.000 0.500 0.000
9 Mg 0.500 0.500 0.000
10 O 0.000 0.000 0.753
11 Mg 0.500 0.000 0.736
12 Nb 0.000 0.000 0.500
13 O 0.500 0.500 0.253
14 Mg 0.000 0.500 0.264
15 Mg 0.500 0.000 0.264
16 Mg 0.000 0.500 0.736

Calculated values
Its uncorrected formation energy is -2309 meV per atom. Its symmetry is No. 123. The density of states at the Fermi level comes out at 0.139 states/eV per atom. As for the size of the total moment: 0.0 Bohr magnetons per cell. Its final energy is -6.420 eV/atom.



No. 2
Density functional theory data (PBE-GGA) for an optimized crystal structure of YMg2NbO.

Unit cell a=4.369 b=4.774 c=4.369 alpha=90.00 beta=90.00 gamma=90.00
Site moments in Bohr magnetons follow the coordinates.
Element x y z (fractional)
1 Mg 0.000 0.000 0.500  0.00
2 Y 0.500 0.500 0.500  0.07
3 O 0.000 0.000 0.000  0.01
4 Mg 0.500 0.000 0.000  0.00
5 Nb 0.000 0.500 0.000  0.63

Calculated values
Its uncorrected formation energy is -486 meV per atom. Its symmetry is No. 123. The density of states at the Fermi level comes out at 0.783 states/eV per atom. As for the size of the total moment: 0.9 Bohr magnetons per cell. Its final energy is -5.422 eV/atom.



No. 3
Density functional theory data (PBE-GGA) for an optimized crystal structure of Mg6NbZnO8.

Unit cell a=4.307 b=4.307 c=8.800 alpha=90.00 beta=90.00 gamma=90.00
Site moments in Bohr magnetons follow the coordinates.
Element x y z (fractional)
1 O 0.500 0.500 0.749  0.00
2 O 0.500 0.000 0.500  0.00
3 O 0.000 0.500 0.000  0.00
4 O 0.000 0.000 0.758  0.01
5 Mg 0.000 0.500 0.243  0.00
6 Mg 0.500 0.500 0.000  0.00
7 O 0.000 0.500 0.500  0.00
8 Mg 0.500 0.500 0.500  0.00
9 O 0.500 0.500 0.251  0.00
10 Mg 0.500 0.000 0.243  0.00
11 O 0.500 0.000 0.000  0.00
12 Mg 0.000 0.500 0.757  0.00
13 O 0.000 0.000 0.242  0.01
14 Nb 0.000 0.000 0.500  0.31
15 Zn 0.000 0.000 0.000  0.00
16 Mg 0.500 0.000 0.757  0.00

Calculated values
Its uncorrected formation energy is -2235 meV per atom. Its symmetry is No. 123. The density of states at the Fermi level comes out at 0.185 states/eV per atom. As for the size of the total moment: 0.4 Bohr magnetons per cell. Its final energy is -6.021 eV/atom.



No. 4
Density functional theory data (PBE-GGA) for an optimized crystal structure of Mg6NbZnO8.

Unit cell a=4.319 b=4.319 c=8.796 alpha=90.00 beta=90.00 gamma=90.00
Site moments in Bohr magnetons follow the coordinates.
Element x y z (fractional)
1 Nb 0.500 0.500 0.000  0.40
2 O 0.500 0.500 0.739  0.01
3 Mg 0.000 0.500 0.258  0.00
4 Mg 0.500 0.500 0.500  0.00
5 Mg 0.500 0.000 0.742  0.00
6 Mg 0.000 0.500 0.742  0.00
7 O 0.500 0.500 0.261  0.01
8 Mg 0.500 0.000 0.258  0.00
9 O 0.000 0.000 0.739  0.00
10 O 0.000 0.500 0.000  0.00
11 O 0.000 0.000 0.261  0.00
12 O 0.500 0.000 0.000  0.00
13 O 0.000 0.500 0.500  0.00
14 O 0.500 0.000 0.500  0.00
15 Mg 0.000 0.000 0.500  0.00
16 Zn 0.000 0.000 0.000  -0.01

Calculated values
Its uncorrected formation energy is -2234 meV per atom. Its symmetry is No. 123. The density of states at the Fermi level comes out at 0.179 states/eV per atom. As for the size of the total moment: 0.5 Bohr magnetons per cell. Its final energy is -6.020 eV/atom.



No. 5
Density functional theory data (PBE-GGA) for an optimized crystal structure of Mg3NbOs.

Unit cell a=4.826 b=4.826 c=4.826 alpha=90.00 beta=90.00 gamma=90.00
Element x y z (fractional)
1 Os 0.000 0.000 0.000
2 Mg 0.000 0.000 0.500
3 Mg 0.500 0.000 0.000
4 Mg 0.000 0.500 0.000
5 Nb 0.500 0.500 0.500

Calculated values
Its symmetry is No. 221. The density of states at the Fermi level comes out at 0.828 states/eV per atom. As for the size of the total moment: 0.0 Bohr magnetons per cell. For the energy of formation from the pure elements, the calculation gives 1.143 eV/atom. Its final energy is -4.074 eV/atom.



No. 6
Density functional theory data (PBE-GGA) for an optimized crystal structure of MgNbOs.

Unit cell a=3.071 b=14.911 c=4.585 alpha=90.00 beta=90.00 gamma=90.00
Element x y z (fractional)
1 Mg 0.000 0.775 0.250
2 Os 0.500 0.932 0.250
3 Mg 0.500 0.725 0.750
4 Mg 0.000 0.225 0.750
5 Nb 0.000 0.919 0.750
6 Os 0.500 0.068 0.750
7 Mg 0.500 0.275 0.250
8 Nb 0.500 0.581 0.250
9 Nb 0.000 0.081 0.250
10 Os 0.000 0.432 0.250
11 Nb 0.500 0.419 0.750
12 Os 0.000 0.568 0.750

Calculated values
Its symmetry is No. 63. The density of states at the Fermi level comes out at 0.767 states/eV per atom. As for the size of the total moment: 0.0 Bohr magnetons per cell. For the energy of formation from the pure elements, the calculation gives -0.004 eV/atom. Its final energy is -7.635 eV/atom.



No. 7
Density functional theory data (PBE-GGA) for an optimized crystal structure of MgNbOs.

Unit cell a=4.407 b=4.407 c=5.847 alpha=90.00 beta=90.00 gamma=120.00
Element x y z (fractional)
1 Mg 0.333 0.667 0.911
2 Nb 0.333 0.667 0.402
3 Nb 0.667 0.333 0.598
4 Mg 0.667 0.333 0.089
5 Os 0.000 0.000 0.753
6 Os 0.000 0.000 0.247

Calculated values
Its symmetry is No. 164. The density of states at the Fermi level comes out at 0.391 states/eV per atom. As for the size of the total moment: 0.0 Bohr magnetons per cell. For the energy of formation from the pure elements, the calculation gives -0.046 eV/atom. Its final energy is -7.677 eV/atom.



No. 8
Density functional theory data (PBE-GGA) for an optimized crystal structure of MgNb5Os6.

Unit cell a=4.499 b=6.330 c=7.801 alpha=113.94 beta=106.80 gamma=90.00
Element x y z (fractional)
1 Os 0.834 0.081 0.667
2 Os 0.834 0.587 0.667
3 Nb 0.333 0.833 0.666
4 Os 0.166 0.919 0.333
5 Nb 0.664 0.665 0.329
6 Nb 0.667 0.167 0.334
7 Nb 0.336 0.335 0.671
8 Os 0.500 0.248 0.000
9 Mg 0.000 0.000 0.000
10 Os 0.166 0.413 0.333
11 Os 0.500 0.752 0.000
12 Nb 0.000 0.500 0.000

Calculated values
Its symmetry is No. 71. The density of states at the Fermi level comes out at 0.652 states/eV per atom. As for the size of the total moment: 0.0 Bohr magnetons per cell. For the energy of formation from the pure elements, the calculation gives -0.163 eV/atom. Its final energy is -10.107 eV/atom.



No. 9
Density functional theory data (PBE-GGA) for an optimized crystal structure of MgNb2Os3.

Unit cell a=3.183 b=3.183 c=9.512 alpha=90.00 beta=90.00 gamma=90.00
Element x y z (fractional)
1 Os 0.000 0.000 0.000
2 Os 0.000 0.000 0.674
3 Nb 0.500 0.500 0.825
4 Os 0.000 0.000 0.326
5 Mg 0.500 0.500 0.500
6 Nb 0.500 0.500 0.175

Calculated values
Its symmetry is No. 123. The density of states at the Fermi level comes out at 0.204 states/eV per atom. As for the size of the total moment: 0.0 Bohr magnetons per cell. For the energy of formation from the pure elements, the calculation gives -0.173 eV/atom. Its final energy is -9.410 eV/atom.



No. 10
Density functional theory data (PBE-GGA) for an optimized crystal structure of MgNbOs3.

Unit cell a=4.401 b=4.401 c=4.401 alpha=90.00 beta=90.00 gamma=90.00
Element x y z (fractional)
1 Os 0.000 0.000 0.500
2 Os 0.000 0.500 0.000
3 Mg 0.000 0.000 0.000
4 Nb 0.500 0.500 0.500
5 Os 0.500 0.000 0.000

Calculated values
Its symmetry is No. 221. The density of states at the Fermi level comes out at 0.526 states/eV per atom. As for the size of the total moment: 0.0 Bohr magnetons per cell. For the energy of formation from the pure elements, the calculation gives 1.777 eV/atom. Its final energy is -7.294 eV/atom.



No. 11
Density functional theory data (PBE-GGA) for an optimized crystal structure of MgNb2Os2.

Unit cell a=7.753 b=7.753 c=2.961 alpha=90.00 beta=90.00 gamma=90.00
Element x y z (fractional)
1 Mg 0.000 0.000 0.000
2 Os 0.648 0.852 0.500
3 Nb 0.147 0.353 0.000
4 Nb 0.647 0.147 0.000
5 Nb 0.353 0.853 0.000
6 Os 0.352 0.148 0.500
7 Os 0.852 0.352 0.500
8 Nb 0.853 0.647 0.000
9 Os 0.148 0.648 0.500
10 Mg 0.500 0.500 0.000

Calculated values
Its symmetry is No. 127. The density of states at the Fermi level comes out at 0.649 states/eV per atom. As for the size of the total moment: 0.0 Bohr magnetons per cell. For the energy of formation from the pure elements, the calculation gives 0.070 eV/atom. Its final energy is -8.768 eV/atom.



No. 12
Density functional theory data (PBE-GGA) for an optimized crystal structure of MgNbOs.

Unit cell a=4.559 b=4.559 c=5.517 alpha=90.00 beta=90.00 gamma=120.00
Element x y z (fractional)
1 Os 0.667 0.333 0.806
2 Nb 0.667 0.333 0.316
3 Nb 0.333 0.667 0.684
4 Os 0.333 0.667 0.194
5 Mg 0.000 0.000 0.500
6 Mg 0.000 0.000 0.000

Calculated values
Its symmetry is No. 164. The density of states at the Fermi level comes out at 0.261 states/eV per atom. As for the size of the total moment: 0.0 Bohr magnetons per cell. For the energy of formation from the pure elements, the calculation gives -0.139 eV/atom. Its final energy is -7.770 eV/atom.